1.
A relaxed GaTc crystal, computed with PBE-GGA.

Structure (POSCAR):
```
GaTc
1.0
-5.034 -0.102 -0.761
0.765 -1.056 -4.922
-0.059 -4.981 1.060
Ga Tc
4 4
Direct
0.000 0.000 0.000 Ga
0.000 0.500 0.500 Ga
0.500 0.000 0.500 Ga
0.500 0.500 0.000 Ga
0.500 0.500 0.500 Tc
0.500 0.000 0.000 Tc
0.000 0.500 0.000 Tc
0.000 0.000 0.500 Tc
```

Computed properties:
SG = Fm-3m, No. 225
E_form = 42.6 kJ/mol of atoms

***

2.
A relaxed K2ScHg crystal, computed with PBE-GGA.

Structure (POSCAR):
```
K2ScHg
1.0
-0.344 2.063 -3.212
0.710 -3.135 -2.089
-10.675 -2.226 -0.285
Hg K Sc
1 2 1
Direct
0.500 0.500 0.686 Hg
0.000 0.000 0.925 K
0.500 0.500 0.302 K
0.000 0.000 0.587 Sc
```

Computed properties:
SG = P4mm, No. 99
E_form = 2.8 kJ/mol of atoms

***

3.
A relaxed Sr2NiSb crystal, computed with PBE-GGA.

Structure (POSCAR):
```
Sr2NiSb
1.0
4.488 -0.032 -0.052
2.884 3.439 -0.052
1.782 0.824 8.157
Ni Sb Sr
1 1 2
Direct
0.750 0.750 0.750 Ni
0.250 0.250 0.250 Sb
0.011 0.011 0.974 Sr
0.489 0.489 0.526 Sr
```

Computed properties:
SG = C2/m, No. 12
E_form (uncorrected) = -0.171 eV/atom

***

4.
A relaxed Ac2NpHgO8 crystal, computed with PBE-GGA.

Structure (POSCAR):
```
Ac2NpHgO8
1.0
4.447 -0.328 -0.002
-0.306 5.465 -0.005
0.004 0.009 8.358
Ac Np Hg O
2 1 1 8
Direct
0.500 0.500 0.753 Ac
0.500 0.500 0.247 Ac
0.000 0.000 0.000 Np
0.000 0.000 0.500 Hg
0.073 0.768 0.183 O
0.601 0.779 0.000 O
0.927 0.232 0.183 O
0.927 0.232 0.817 O
0.399 0.221 0.000 O
0.073 0.768 0.817 O
0.662 0.721 0.500 O
0.338 0.279 0.500 O
```

Computed properties:
SG = P2/m, No. 10
E_form (uncorrected) = -2.411 eV/atom